[1]
# PBEsol Li4Ca2MgSi2N6, relaxed
data_Li4Ca2MgSi2N6
_chemical_formula_sum 'Li8 Ca4 Mg2 Si4 N12'
_space_group_name_H-M_alt 'C 1 2/m 1'
_space_group_IT_number 12
_space_group_name_Hall '-C 2y'
_cell_length_a 5.857
_cell_length_b 9.746
_cell_length_c 5.588
_cell_angle_alpha 90.00
_cell_angle_beta 94.53
_cell_angle_gamma 90.00
loop_
_atom_site_label
_atom_site_type_symbol
_atom_site_fract_x
_atom_site_fract_y
_atom_site_fract_z
Li1 Li 0.160 0.171 0.126
Ca1 Ca 0.000 0.322 0.500
Mg1 Mg 0.000 0.000 0.500
Si1 Si 0.179 0.500 0.133
N1 N 0.123 0.500 0.811
N2 N 0.177 0.145 0.752
# Raw formation energy ... -1098 meV per atom


[2]
# PBEsol LiCaMgSiN3, relaxed
data_LiCaMgSiN3
_chemical_formula_sum 'Li4 Ca4 Mg4 Si4 N12'
_space_group_name_H-M_alt 'C 1 2/m 1'
_space_group_IT_number 12
_space_group_name_Hall '-C 2y'
_cell_length_a 5.543
_cell_length_b 9.794
_cell_length_c 5.982
_cell_angle_alpha 90.00
_cell_angle_beta 97.08
_cell_angle_gamma 90.00
loop_
_atom_site_label
_atom_site_type_symbol
_atom_site_fract_x
_atom_site_fract_y
_atom_site_fract_z
Li1 Li 0.175 0.000 0.408
Ca1 Ca 0.000 0.181 0.000
Mg1 Mg 0.000 0.267 0.500
Si1 Si 0.131 0.500 0.178
N1 N 0.193 0.500 0.888
N2 N 0.249 0.354 0.309
# Raw formation energy ... -1145 meV per atom


[3]
# PBEsol LiCaMn3, relaxed
data_LiCaMn3
_chemical_formula_sum 'Li1 Ca1 Mn3'
_space_group_name_H-M_alt 'P m -3 m'
_space_group_IT_number 221
_space_group_name_Hall '-P 4 2 3'
_cell_length_a 4.946
_cell_length_b 4.946
_cell_length_c 4.946
_cell_angle_alpha 90.00
_cell_angle_beta 90.00
_cell_angle_gamma 90.00
loop_
_atom_site_label
_atom_site_type_symbol
_atom_site_fract_x
_atom_site_fract_y
_atom_site_fract_z
Li1 Li 0.000 0.000 0.000
Ca1 Ca 0.500 0.500 0.500
Mn1 Mn 0.000 0.500 0.500
# Energy of formation ... 1846.3 meV per atom


[4]
# PBEsol Li3CaMnN3, relaxed
data_Li3CaMnN3
_chemical_formula_sum 'Li18 Ca6 Mn6 N18'
_space_group_name_H-M_alt 'R -3'
_space_group_IT_number 148
_space_group_name_Hall '-R 3'
_cell_length_a 5.6785
_cell_length_b 5.6785
_cell_length_c 18.3459
_cell_angle_alpha 90.00
_cell_angle_beta 90.00
_cell_angle_gamma 120.00
loop_
_atom_site_label
_atom_site_type_symbol
_atom_site_fract_x
_atom_site_fract_y
_atom_site_fract_z
Li1 Li 0.0240 0.3930 0.3710
Ca1 Ca 0.0000 0.0000 0.1625
Mn1 Mn 0.0000 0.0000 0.4350
N1 N 0.0059 0.3028 0.5864
# Raw formation energy ... -743 meV per atom


| no. | calculated volume (Å³/f.u.) | E_tot (eV per cell) |
| --- | --- | --- |
| 1 | 159 | -185.94 |
| 2 | 81 | -180.64 |
| 3 | 121 | -24.15 |
| 4 | 85 | -295.91 |